1.
This record from Alexandria via LeMat-Bulk describes a relaxed structure of Cr2AgOs. The functional is PBE-GGA.

The structure belongs to space group Cmmm (No. 65); the cell edges are 2.961, 4.348 and 8.822 Å and the angles 90.00°, 90.00° and 90.00°. The inequivalent atoms are Cr at (0.000, 0.000, 0.231), Ag at (0.000, 0.500, 0.500) and Os at (0.000, 0.500, 0.000).

The calculation puts the electronic total energy at -7.791 eV/atom.



2.
This record from Alexandria via LeMat-Bulk describes a relaxed structure of Tb2PmZn2Sn2. The functional is PBE-GGA.

The structure belongs to space group R-3m (No. 166, hexagonal axes); the cell edges are 4.6609, 4.6609 and 28.2773 Å and the angles 90.00°, 90.00° and 120.00°. The inequivalent atoms are Tb at (0.0000, 0.0000, 0.1316), Pm at (0.0000, 0.0000, 0.0000), Zn at (0.0000, 0.0000, 0.4208) and Sn at (0.0000, 0.0000, 0.2662).

The calculation puts the electronic total energy at -3.867 eV/atom.



3.
This record from Alexandria via LeMat-Bulk describes a relaxed structure of ErSn2Rh. The functional is PBE-GGA.

The structure belongs to space group R-3m (No. 166, hexagonal axes); the cell edges are 3.3397, 3.3397 and 30.5101 Å and the angles 90.00°, 90.00° and 120.00°. The inequivalent atoms are Er at (0.0000, 0.0000, 0.0000), Sn at (0.0000, 0.0000, 0.1022) and Rh at (0.0000, 0.0000, 0.5000).

The calculation puts the electronic total energy at -5.064 eV/atom.



4.
This record from Alexandria via LeMat-Bulk describes a relaxed structure of SrTa4Rh. The functional is PBE-GGA.

The structure belongs to space group F-43m (No. 216); the cell edges are 7.925, 7.925 and 7.925 Å and the angles 90.00°, 90.00° and 90.00°. The inequivalent atoms are Sr at (0.000, 0.000, 0.000), Ta at (0.126, 0.126, 0.626) and Rh at (0.250, 0.250, 0.250).

The calculation puts the electronic total energy at -8.810 eV/atom.